# 1
LaThPd3 | PBE | relaxed

a b c (Å): 4.331 3.920 14.217
angles (deg): 97.92 90.00 90.00
Fractional coordinates of all 10 atoms:
Pd: 0.250 0.376 0.753
Pd: 0.750 0.528 0.057
Pd: 0.250 0.472 0.943
Pd: 0.250 0.690 0.379
Pd: 0.750 0.624 0.247
Pd: 0.750 0.310 0.621
La: 0.250 0.070 0.139
La: 0.750 0.930 0.861
Th: 0.750 0.200 0.400
Th: 0.250 0.800 0.600

Space group = Cmcm, No. 63
Relative energy among the computed polymorphs = 0.0000 eV per atom
D(E_F) = 2.480 states/eV/f.u.
Formation energy from the elements = -816 meV/atom

# 2
LaTh2Pd9 | PBE | relaxed

a b c (Å): 4.223 4.223 12.680
angles (deg): 90.00 90.00 90.00
Fractional coordinates of all 12 atoms:
La: 0.000 0.000 0.000
Th: 0.000 0.000 0.668
Th: 0.000 0.000 0.332
Pd: 0.500 0.500 0.000
Pd: 0.500 0.000 0.171
Pd: 0.500 0.500 0.336
Pd: 0.000 0.500 0.500
Pd: 0.500 0.000 0.829
Pd: 0.500 0.000 0.500
Pd: 0.000 0.500 0.171
Pd: 0.500 0.500 0.664
Pd: 0.000 0.500 0.829

Space group = P4/mmm, No. 123
D(E_F) = 2.140 states/eV/f.u.
Formation energy from the elements = -914 meV/atom

# 3
LaTh2Pd | PBE | relaxed

a b c (Å): 3.786 6.323 10.346
angles (deg): 90.00 90.00 107.46
Fractional coordinates of all 8 atoms:
Th: 0.637 0.273 0.049
Th: 0.363 0.727 0.951
Th: 0.637 0.273 0.451
Th: 0.363 0.727 0.549
Pd: 0.212 0.424 0.250
Pd: 0.788 0.576 0.750
La: 0.918 0.838 0.250
La: 0.082 0.162 0.750

Space group = P2_1/m, No. 11
Relative energy among the computed polymorphs = 0.0000 eV per atom
D(E_F) = 4.561 states/eV/f.u.
Formation energy from the elements = -375 meV/atom

# 4
LaThTlPd | PBE | relaxed

a b c (Å): 5.383 5.383 5.383
angles (deg): 60.00 60.00 60.00
Fractional coordinates of all 4 atoms:
Th: 0.250 0.250 0.250
La: 0.750 0.750 0.750
Pd: 0.500 0.500 0.500
Tl: 0.000 0.000 0.000

Space group = F-43m, No. 216
D(E_F) = 4.890 states/eV/f.u.
Formation energy from the elements = -352 meV/atom

# 5
LaTi2Pd | PBE | relaxed

a b c (Å): 4.006 4.006 11.087
angles (deg): 79.59 79.59 90.00
Fractional coordinates of all 8 atoms:
Pd: 0.250 0.750 0.500
Pd: 0.500 0.500 0.000
La: 0.000 0.000 0.000
La: 0.750 0.250 0.500
Ti: 0.142 0.625 0.250
Ti: 0.608 0.125 0.250
Ti: 0.375 0.392 0.750
Ti: 0.875 0.858 0.750

Space group = I-42d, No. 122
Relative energy among the computed polymorphs = 0.1169 eV per atom
D(E_F) = 5.525 states/eV/f.u.
Formation energy from the elements = 133 meV/atom

# 6
La3TiPd12 | PBE | relaxed

a b c (Å): 4.166 4.166 16.557
angles (deg): 90.00 90.00 90.00
Fractional coordinates of all 16 atoms:
Pd: 0.500 0.500 0.000
Pd: 0.500 0.500 0.239
Pd: 0.500 0.000 0.108
Pd: 0.500 0.000 0.892
Pd: 0.500 0.500 0.500
Pd: 0.000 0.500 0.630
Pd: 0.500 0.000 0.370
Pd: 0.000 0.500 0.370
Pd: 0.000 0.500 0.108
Pd: 0.000 0.500 0.892
Pd: 0.500 0.000 0.630
Pd: 0.500 0.500 0.761
La: 0.000 0.000 0.500
La: 0.000 0.000 0.242
La: 0.000 0.000 0.758
Ti: 0.000 0.000 0.000

Space group = P4/mmm, No. 123
D(E_F) = 7.122 states/eV/f.u.
Formation energy from the elements = -746 meV/atom

# 7
LaTi3Pd | PBE | relaxed

a b c (Å): 4.888 4.888 4.888
angles (deg): 90.00 90.00 90.00
Fractional coordinates of all 5 atoms:
Ti: 0.000 0.500 0.000
Ti: 0.000 0.000 0.500
Ti: 0.500 0.000 0.000
Pd: 0.000 0.000 0.000
La: 0.500 0.500 0.500

Space group = Pm-3m, No. 221
Relative energy among the computed polymorphs = 0.0000 eV per atom
D(E_F) = 7.864 states/eV/f.u.
Formation energy from the elements = 305 meV/atom

# 8
La2Ti2Pd | PBE | relaxed

a b c (Å): 6.830 6.830 5.163
angles (deg): 90.00 90.00 90.00
Fractional coordinates of all 10 atoms:
La: 0.330 0.170 0.500
La: 0.670 0.830 0.500
La: 0.170 0.670 0.500
La: 0.830 0.330 0.500
Ti: 0.145 0.355 0.000
Ti: 0.855 0.645 0.000
Ti: 0.355 0.855 0.000
Ti: 0.645 0.145 0.000
Pd: 0.500 0.500 0.000
Pd: 0.000 0.000 0.000

Space group = P4/mbm, No. 127
Relative energy among the computed polymorphs = 0.0000 eV per atom
D(E_F) = 4.295 states/eV/f.u.
Formation energy from the elements = -18 meV/atom

# 9
La2TiPd2 | PBE | relaxed

a b c (Å): 7.476 7.476 4.351
angles (deg): 90.00 90.00 90.00
Fractional coordinates of all 10 atoms:
La: 0.174 0.674 0.500
La: 0.674 0.826 0.500
La: 0.326 0.174 0.500
La: 0.826 0.326 0.500
Ti: 0.000 0.000 0.000
Ti: 0.500 0.500 0.000
Pd: 0.364 0.864 0.000
Pd: 0.864 0.636 0.000
Pd: 0.636 0.136 0.000
Pd: 0.136 0.364 0.000

Space group = P4/mbm, No. 127
Relative energy among the computed polymorphs = 0.0000 eV per atom
D(E_F) = 9.331 states/eV/f.u.
Formation energy from the elements = -454 meV/atom

# 10
La2Ti2Pd | PBE | relaxed

a b c (Å): 8.713 8.713 3.238
angles (deg): 90.00 90.00 90.00
Fractional coordinates of all 10 atoms:
Pd: 0.500 0.500 0.000
Pd: 0.000 0.000 0.000
La: 0.299 0.799 0.000
La: 0.201 0.299 0.000
La: 0.701 0.201 0.000
La: 0.799 0.701 0.000
Ti: 0.399 0.101 0.500
Ti: 0.899 0.399 0.500
Ti: 0.601 0.899 0.500
Ti: 0.101 0.601 0.500

Space group = P4/mbm, No. 127
Relative energy among the computed polymorphs = 0.4688 eV per atom
D(E_F) = 11.889 states/eV/f.u.
Formation energy from the elements = 451 meV/atom

# 11
LaTi3Pd | PBE | relaxed

a b c (Å): 4.733 4.733 4.733
angles (deg): 90.00 90.00 90.00
Fractional coordinates of all 5 atoms:
La: 0.000 0.000 0.000
Pd: 0.500 0.500 0.500
Ti: 0.500 0.000 0.000
Ti: 0.000 0.000 0.500
Ti: 0.000 0.500 0.000

Space group = Pm-3m, No. 221
Relative energy among the computed polymorphs = 0.9171 eV per atom
D(E_F) = 10.942 states/eV/f.u.
Formation energy from the elements = 1222 meV/atom

# 12
La2TiPd2 | PBE | relaxed

a b c (Å): 5.806 5.806 5.695
angles (deg): 59.35 59.35 90.00
Fractional coordinates of all 5 atoms:
Pd: 0.670 0.670 0.660
Pd: 0.330 0.330 0.340
Ti: 0.000 0.000 0.000
La: 0.750 0.250 0.500
La: 0.250 0.750 0.500

Space group = I4/mmm, No. 139
Relative energy among the computed polymorphs = 0.1939 eV per atom
D(E_F) = 3.449 states/eV/f.u.
Formation energy from the elements = -260 meV/atom